Compound: HgCl3O
Source: the Alexandria database
Functional: PBE-GGA
Structure: optimized geometry

abc: 4.586 4.586 4.586
angles: 90.00 90.00 90.00
Fractional coordinates of all 5 atoms:
Hg  0.500  0.500  0.500
Cl  0.500  0.000  0.000
O  0.000  0.000  0.000
Cl  0.000  0.500  0.000
Cl  0.000  0.000  0.500

Output
- offset from the most stable computed form (eV/atom) = 0.6109
- total magnetic moment (μB per formula unit) = 0.00
- E_tot (eV/f.u.) = -8.58
- formation energy without anion corrections (meV per atom) = 444

---

Compound: Hg2ClO2
Source: the Alexandria database
Functional: PBE-GGA
Structure: optimized geometry

abc: 4.261 4.261 9.604
angles: 121.29 121.29 90.38
Last column: magnetic moment on the atom in μB.
Fractional coordinates of all 5 atoms:
O  0.758  0.242  0.500  0.37
O  0.242  0.758  0.500  0.37
Hg  0.408  0.408  0.635  0.07
Cl  0.000  0.000  0.000  0.00
Hg  0.592  0.592  0.365  0.07

Output
- total magnetic moment (μB per formula unit) = 0.99
- E_tot (eV/f.u.) = -12.92
- formation energy without anion corrections (meV per atom) = -110

---

Compound: Hg2ClO
Source: the Alexandria database
Functional: PBE-GGA
Structure: optimized geometry

abc: 7.421 7.161 8.280
angles: 90.00 90.00 90.00
Fractional coordinates of all 16 atoms:
Hg  0.522  0.088  0.147
Hg  0.293  0.514  0.992
Hg  0.522  0.588  0.353
Hg  0.793  0.486  0.008
Hg  0.293  0.014  0.508
Cl  0.924  0.594  0.385
Hg  0.022  0.912  0.853
O  0.534  0.411  0.115
Cl  0.424  0.406  0.615
O  0.034  0.089  0.615
Hg  0.793  0.986  0.492
O  0.034  0.589  0.885
O  0.534  0.911  0.385
Cl  0.424  0.906  0.885
Hg  0.022  0.412  0.647
Cl  0.924  0.094  0.115

Output
- offset from the most stable computed form (eV/atom) = 0.1142
- total magnetic moment (μB per formula unit) = 0.00
- E_tot (eV/f.u.) = -8.56
- formation energy without anion corrections (meV per atom) = -288

---

Compound: Hg4Cl5O
Source: the Alexandria database
Functional: PBE-GGA
Structure: optimized geometry

abc: 3.797 7.401 9.490
angles: 102.33 101.54 90.00
Fractional coordinates of all 10 atoms:
Hg  0.999  0.782  0.998
Cl  0.165  0.330  0.330
Cl  0.500  0.500  0.000
O  0.500  0.000  0.000
Cl  0.833  0.156  0.665
Hg  0.649  0.079  0.297
Hg  0.001  0.218  0.002
Hg  0.351  0.921  0.703
Cl  0.167  0.844  0.335
Cl  0.835  0.670  0.670

Output
- total magnetic moment (μB per formula unit) = 0.00
- E_tot (eV/f.u.) = -19.11
- formation energy without anion corrections (meV per atom) = -372

---

Compound: Hg2Cl2O
Source: the Alexandria database
Functional: PBE-GGA
Structure: optimized geometry

abc: 4.032 7.780 11.542
angles: 69.30 58.89 67.93
Fractional coordinates of all 10 atoms:
Hg  0.547  0.212  0.515
Cl  0.125  0.236  0.946
Hg  0.005  0.935  0.830
Hg  0.453  0.788  0.485
O  0.102  0.063  0.632
Cl  0.986  0.603  0.646
Cl  0.875  0.764  0.054
Hg  0.995  0.065  0.170
O  0.898  0.937  0.368
Cl  0.014  0.397  0.354

Output
- offset from the most stable computed form (eV/atom) = 0.0000
- total magnetic moment (μB per formula unit) = 0.00
- E_tot (eV/f.u.) = -11.61
- formation energy without anion corrections (meV per atom) = -470

---

Compound: Hg2OsCl4O2
Source: the Alexandria database
Functional: PBE-GGA
Structure: optimized geometry

abc: 5.788 6.837 6.837
angles: 104.48 90.18 90.18
Fractional coordinates of all 9 atoms:
Hg  0.068  0.650  0.650
Cl  0.280  0.705  0.012
Hg  0.932  0.350  0.350
O  0.293  0.153  0.153
Os  0.500  0.000  0.000
Cl  0.280  0.012  0.705
Cl  0.720  0.295  0.988
O  0.707  0.847  0.847
Cl  0.720  0.988  0.295

Output
- total magnetic moment (μB per formula unit) = 0.00
- E_tot (eV/f.u.) = -34.42
- formation energy without anion corrections (meV per atom) = -587

---

Compound: HgP2ClO6
Source: the Alexandria database
Functional: PBE-GGA
Structure: optimized geometry

abc: 4.536 8.667 8.667
angles: 87.21 79.65 79.65
Last column: magnetic moment on the atom in μB.
Fractional coordinates of all 20 atoms:
O  0.502  0.330  0.253  0.04
P  0.841  0.617  0.779  -0.01
P  0.341  0.779  0.617  -0.01
O  0.002  0.253  0.330  0.04
O  0.498  0.670  0.747  0.04
O  0.342  0.950  0.639  0.22
P  0.659  0.221  0.383  -0.01
Hg  0.750  0.786  0.214  0.03
O  0.966  0.456  0.716  0.14
O  0.034  0.544  0.284  0.14
P  0.159  0.383  0.221  -0.01
O  0.534  0.284  0.544  0.14
Hg  0.250  0.214  0.786  0.03
O  0.842  0.639  0.950  0.22
Cl  0.250  0.884  0.116  0.07
O  0.158  0.361  0.050  0.22
O  0.998  0.747  0.670  0.04
O  0.658  0.050  0.361  0.22
O  0.466  0.716  0.456  0.14
Cl  0.750  0.116  0.884  0.07

Output
- total magnetic moment (μB per formula unit) = 1.06
- E_tot (eV/f.u.) = -57.09
- formation energy without anion corrections (meV per atom) = -1438

---

Compound: Hg3PClO4
Source: the Alexandria database
Functional: PBE-GGA
Structure: optimized geometry

abc: 8.502 8.502 8.502
angles: 90.00 90.00 90.00
Fractional coordinates of all 36 atoms:
O  0.418  0.906  0.376
Hg  0.051  0.604  0.149
O  0.594  0.624  0.918
P  0.478  0.522  0.022
O  0.627  0.127  0.373
O  0.082  0.094  0.876
Cl  0.227  0.227  0.227
O  0.582  0.406  0.124
Hg  0.949  0.104  0.351
Hg  0.604  0.149  0.051
Hg  0.896  0.851  0.551
O  0.127  0.373  0.627
Hg  0.851  0.551  0.896
Hg  0.149  0.051  0.604
O  0.376  0.418  0.906
O  0.094  0.876  0.082
Cl  0.773  0.727  0.273
Cl  0.273  0.773  0.727
P  0.022  0.478  0.522
O  0.873  0.873  0.873
O  0.373  0.627  0.127
Hg  0.649  0.449  0.396
O  0.406  0.124  0.582
Cl  0.727  0.273  0.773
Hg  0.104  0.351  0.949
P  0.522  0.022  0.478
Hg  0.551  0.896  0.851
O  0.906  0.376  0.418
O  0.624  0.918  0.594
Hg  0.396  0.649  0.449
Hg  0.449  0.396  0.649
O  0.918  0.594  0.624
Hg  0.351  0.949  0.104
O  0.124  0.582  0.406
O  0.876  0.082  0.094
P  0.978  0.978  0.978

Output
- total magnetic moment (μB per formula unit) = 0.00
- E_tot (eV/f.u.) = -37.91
- formation energy without anion corrections (meV per atom) = -1102

---

- Which formula does entry 6 have?
  Hg2OsCl4O2

---

- Which value of E_tot does entry 6 give?
  -34.42 eV/f.u.

---

- Look up the total magnetic moment of the second one.
  0.99 μB per formula unit